# 1
# PBE-GGA Ac4AgRu2, relaxed
# ρ	9081	kg/m3
# total energy	-5.57	eV/atom
# energy of formation	-0.16	eV per atom
data_Ac4AgRu2
_chemical_formula_sum 'Ac16 Ag4 Ru8'
_cell_length_a 12.717
_cell_length_b 9.141
_cell_length_c 8.193
_cell_angle_alpha 90.00
_cell_angle_beta 110.70
_cell_angle_gamma 90.00
_symmetry_space_group_name_H-M 'C 1 m 1'
_symmetry_Int_Tables_number 8
_symmetry_space_group_name_Hall 'C -2y'
loop_
_atom_site_label
_atom_site_type_symbol
_atom_site_fract_x
_atom_site_fract_y
_atom_site_fract_z
Ac1 Ac 0.000 0.000 0.000
Ac2 Ac 0.001 0.000 0.477
Ac3 Ac 0.005 0.500 0.480
Ac4 Ac 0.021 0.500 0.015
Ac5 Ac 0.265 0.281 0.612
Ac6 Ac 0.284 0.267 0.124
Ag1 Ag 0.221 0.000 0.351
Ag2 Ag 0.224 0.000 0.839
Ru1 Ru 0.053 0.251 0.268
Ru2 Ru 0.224 0.500 0.847
Ru3 Ru 0.235 0.500 0.345



# 2
# PBE-GGA NaMgZnAg, relaxed
# ρ	4568	kg/m3
# total energy	-1.75	eV/atom
# energy of formation	0.01	eV per atom
data_NaMgZnAg
_chemical_formula_sum 'Na4 Mg4 Zn4 Ag4'
_cell_length_a 6.845
_cell_length_b 6.845
_cell_length_c 6.845
_cell_angle_alpha 90.00
_cell_angle_beta 90.00
_cell_angle_gamma 90.00
_symmetry_space_group_name_H-M 'F -4 3 m'
_symmetry_Int_Tables_number 216
_symmetry_space_group_name_Hall 'F -4 2 3'
loop_
_atom_site_label
_atom_site_type_symbol
_atom_site_fract_x
_atom_site_fract_y
_atom_site_fract_z
Na1 Na 0.000 0.000 0.000
Mg1 Mg 0.000 0.000 0.500
Zn1 Zn 0.250 0.250 0.250
Ag1 Ag 0.250 0.250 0.750